No. 1
## Pm3Y2Ho5 (PBE-GGA)

Data for a relaxed structure of Pm3Y2Ho5.

a = 11.3696 Å, b = 17.6822 Å, c = 6.6606 Å
α = 90.00°, β = 90.00°, γ = 90.00°
Space group Ibam (No. 72)
One atom of each set of equivalent atoms:
Pm  0.0000  0.0000  0.2500 (multiplicity 4)
Pm  0.2148  0.3274  0.0000 (multiplicity 8)
Y  0.2349  0.0317  0.0000 (multiplicity 8)
Ho  0.0000  0.1808  0.2500 (multiplicity 8)
Ho  0.0000  0.5000  0.2500 (multiplicity 4)
Ho  0.0885  0.3311  0.5000 (multiplicity 8)

Output
Crystal system ... orthorhombic
Distance to the lowest polymorph of the same formula ... 0.0697 eV/atom
ΔE_f ... 0.266 eV per atom

No. 2
## Pm12Y7Ho (PBE-GGA)

Data for a relaxed structure of Pm12Y7Ho.

a = 18.8459 Å, b = 18.8459 Å, c = 6.7989 Å
α = 90.00°, β = 90.00°, γ = 120.00°
Space group R-3 (No. 148, hexagonal axes)
One atom of each set of equivalent atoms:
Pm  0.0006  0.2119  0.2829 (multiplicity 18)
Pm  0.0057  0.5350  0.7429 (multiplicity 18)
Y  0.0000  0.0000  0.5000 (multiplicity 3)
Y  0.0065  0.1546  0.7768 (multiplicity 18)
Ho  0.0000  0.0000  0.0000 (multiplicity 3)

Output
Crystal system ... trigonal
Distance to the lowest polymorph of the same formula ... 0.0691 eV/atom
ΔE_f ... 0.287 eV per atom

No. 3
## Pm6YHo12 (PBE-GGA)

Data for a relaxed structure of Pm6YHo12.

a = 13.2155 Å, b = 13.2155 Å, c = 12.6225 Å
α = 90.00°, β = 90.00°, γ = 120.00°
Space group R-3m (No. 166, hexagonal axes)
One atom of each set of equivalent atoms:
Pm  0.0392  0.5196  0.1168 (multiplicity 18)
Y  0.0000  0.0000  0.5000 (multiplicity 3)
Ho  0.0000  0.2573  0.0000 (multiplicity 18)
Ho  0.0911  0.1821  0.7644 (multiplicity 18)

Output
Crystal system ... trigonal
Distance to the lowest polymorph of the same formula ... 0.0892 eV/atom
ΔE_f ... 0.215 eV per atom

- Which formula does entry 3 have?
  Pm6YHo12

- What is the ΔE_f in the second record?
  0.287 eV per atom